Entry 1:
PIrRuCl2: optimized geometry, PBE-GGA.

Cell lengths 4.740, 4.740, 4.531 Å; angles 90.00, 90.00, 90.00 degrees
Element x y z (fractional)
P: 0.000 0.000 0.000
Ir: 0.500 0.500 0.000
Ru: 0.000 0.000 0.500
Cl: 0.000 0.500 0.500
Cl: 0.500 0.000 0.500

Results
Its calculated volume is 20.355 Å³ per atom. For the raw formation energy, the calculation gives 1.1456 eV per atom.

---

Entry 2:
P2IrSCl: optimized geometry, PBE-GGA.

Cell lengths 4.399, 4.399, 4.529 Å; angles 90.00, 90.00, 90.00 degrees
Element x y z (fractional)
P: 0.000 0.500 0.000
P: 0.500 0.000 0.000
Ir: 0.000 0.000 0.500
S: 0.500 0.500 0.500
Cl: 0.500 0.500 0.000

Results
Its calculated volume is 17.530 Å³ per atom. For the raw formation energy, the calculation gives 1.7271 eV per atom.

---

Entry 3:
P2IrSCl: optimized geometry, PBE-GGA.

Cell lengths 4.612, 4.612, 4.734 Å; angles 90.00, 90.00, 90.00 degrees
Element x y z (fractional)
P: 0.000 0.500 0.000
P: 0.500 0.000 0.000
Ir: 0.000 0.000 0.000
S: 0.500 0.500 0.500
Cl: 0.000 0.000 0.500

Results
Its calculated volume is 20.140 Å³ per atom. For the raw formation energy, the calculation gives 0.6955 eV per atom.

---

Number 1: magnetization 0.422 μB per atom. Number 2: magnetization 0.000 μB per atom. Number 3: magnetization 0.000 μB per atom.